# 1
An optimized crystal structure of KSrTeI2. Source: the Alexandria database, functional GGA-PBE.

a = 6.442 Å, b = 6.442 Å, c = 6.439 Å
α = 90.00°, β = 90.00°, γ = 90.00°
Fractional positions:
K  0.500  0.500  0.500
Te  0.000  0.000  0.500
I  0.500  0.000  0.000
I  0.000  0.500  0.000
Sr  0.000  0.000  0.000

Calculated values
Crystal system: tetragonal
Excess energy over the best structure of this formula in the dataset (kJ/mol of formula units): 0
Symmetry: P4/mmm (123)
E_form (uncorrected) (eV/f.u.): -5.51

***

# 2
An optimized crystal structure of CoIrCl2. Source: the Alexandria database, functional GGA-PBE.

a = 2.922 Å, b = 5.724 Å, c = 3.976 Å
α = 90.00°, β = 90.00°, γ = 90.00°
Fractional positions:
Co  0.500  0.000  0.500
Cl  0.500  0.500  0.000
Cl  0.000  0.000  0.000
Ir  0.000  0.500  0.500

Calculated values
Crystal system: orthorhombic
Excess energy over the best structure of this formula in the dataset (kJ/mol of formula units): 224
Symmetry: Pmmm (47)
E_form (uncorrected) (eV/f.u.): 2.67

***

# 3
An optimized crystal structure of Hg2BF5. Source: the Alexandria database, functional GGA-PBE.

a = 5.502 Å, b = 5.501 Å, c = 6.043 Å
α = 118.30°, β = 118.30°, γ = 71.53°
Fractional positions:
F  0.112  0.112  0.617
F  0.822  0.823  0.064
F  0.237  0.874  0.088
F  0.875  0.238  0.088
F  0.839  0.839  0.695
Hg  0.272  0.672  0.507
Hg  0.672  0.272  0.506
B  0.948  0.948  0.989

Calculated values
Crystal system: monoclinic
Symmetry: Cm (8)
E_form (uncorrected) (eV/f.u.): -16.46

***

# 4
An optimized crystal structure of CuAg3Pd3. Source: the Alexandria database, functional GGA-PBE.

a = 8.404 Å, b = 7.668 Å, c = 5.354 Å
α = 135.73°, β = 90.72°, γ = 89.00°
Fractional positions:
Pd  0.259  0.079  0.623
Pd  0.235  0.963  0.000
Pd  0.741  0.921  0.377
Pd  0.765  0.037  0.000
Pd  0.741  0.544  0.623
Pd  0.259  0.456  0.377
Ag  0.286  0.582  0.000
Ag  0.000  0.722  0.443
Ag  0.500  0.790  0.581
Ag  0.000  0.278  0.557
Ag  0.714  0.418  0.000
Ag  0.500  0.210  0.419
Cu  0.996  0.774  0.000
Cu  0.004  0.226  0.000

Calculated values
Crystal system: monoclinic
Calculated formation energy (eV per atom): 0.102
Symmetry: C2/m (12)

***

# 5
An optimized crystal structure of MgMnAl2. Source: the Alexandria database, functional GGA-PBE.

a = 4.850 Å, b = 4.850 Å, c = 4.850 Å
α = 132.39°, β = 132.37°, γ = 69.63°
Fractional positions:
Mg  0.750  0.250  0.500
Al  0.500  0.500  0.000
Al  0.000  0.000  0.000
Mn  0.250  0.750  0.500

Calculated values
Crystal system: tetragonal
Calculated formation energy (eV per atom): -0.059
Symmetry: I4/mmm (139)

***

# 6
An optimized crystal structure of La2ReAuC. Source: the Alexandria database, functional GGA-PBE.

a = 5.349 Å, b = 5.349 Å, c = 3.971 Å
α = 90.00°, β = 90.00°, γ = 90.00°
Fractional positions:
La  0.500  0.000  0.000
La  0.000  0.500  0.000
Re  0.000  0.000  0.500
Au  0.500  0.500  0.500
C  0.000  0.000  0.000

Calculated values
Crystal system: tetragonal
Calculated formation energy (eV per atom): -0.276
Symmetry: P4/mmm (123)

***

# 7
An optimized crystal structure of VRe2Mo4. Source: the Alexandria database, functional GGA-PBE.

a = 3.042 Å, b = 5.919 Å, c = 12.479 Å
α = 90.00°, β = 90.00°, γ = 90.00°
Fractional positions:
Mo  0.000  0.950  0.240
Mo  0.500  0.190  0.404
Mo  0.500  0.310  0.904
Mo  0.000  0.050  0.760
Mo  0.500  0.690  0.096
Mo  0.500  0.810  0.596
Mo  0.000  0.450  0.260
Mo  0.000  0.550  0.740
Re  0.500  0.228  0.125
Re  0.500  0.272  0.625
Re  0.500  0.728  0.375
Re  0.500  0.772  0.875
V  0.000  0.000  0.000
V  0.000  0.500  0.500

Calculated values
Crystal system: orthorhombic
Calculated formation energy (eV per atom): 0.277
Excess energy over the best structure of this formula in the dataset (kJ/mol of formula units): 0
Symmetry: Pbam (55)

***

# 8
An optimized crystal structure of Ba2AgBiAs. Source: the Alexandria database, functional GGA-PBE.

a = 6.677 Å, b = 5.211 Å, c = 6.677 Å
α = 90.00°, β = 90.00°, γ = 90.00°
Fractional positions:
As  0.500  0.500  0.500
Ba  0.500  0.000  0.000
Ba  0.000  0.000  0.500
Bi  0.000  0.000  0.000
Ag  0.000  0.500  0.000

Calculated values
Crystal system: tetragonal
Calculated formation energy (eV per atom): -0.120
Symmetry: P4/mmm (123)

***

# 9
An optimized crystal structure of SrPrSbAu. Source: the Alexandria database, functional GGA-PBE.

a = 5.497 Å, b = 5.497 Å, c = 5.497 Å
α = 60.00°, β = 60.00°, γ = 60.00°
Fractional positions:
Au  0.000  0.000  0.000
Pr  0.250  0.250  0.250
Sr  0.750  0.750  0.750
Sb  0.500  0.500  0.500

Calculated values
Crystal system: cubic
Symmetry: F-43m (216)
E_form (uncorrected) (eV/f.u.): -3.19

***

# 10
An optimized crystal structure of MgFe3B. Source: the Alexandria database, functional GGA-PBE.

a = 3.893 Å, b = 3.893 Å, c = 3.893 Å
α = 90.00°, β = 90.00°, γ = 90.00°
Fractional positions:
Mg  0.500  0.500  0.500
B  0.000  0.000  0.000
Fe  0.000  0.000  0.500
Fe  0.500  0.000  0.000
Fe  0.000  0.500  0.000

Calculated values
Crystal system: cubic
Calculated formation energy (eV per atom): 0.024
Excess energy over the best structure of this formula in the dataset (kJ/mol of formula units): 0
Symmetry: Pm-3m (221)

***

# 11
An optimized crystal structure of Co2Te2Pb. Source: the Alexandria database, functional GGA-PBE.

a = 3.695 Å, b = 3.695 Å, c = 8.916 Å
α = 78.04°, β = 78.04°, γ = 90.00°
Fractional positions:
Co  0.750  0.250  0.500
Co  0.250  0.750  0.500
Pb  0.000  0.000  0.000
Te  0.348  0.348  0.304
Te  0.652  0.652  0.696

Calculated values
Crystal system: tetragonal
Excess energy over the best structure of this formula in the dataset (kJ/mol of formula units): 0
Symmetry: I4/mmm (139)
E_form (uncorrected) (eV/f.u.): 0.06

***

# 12
An optimized crystal structure of CaScCd2. Source: the Alexandria database, functional GGA-PBE.

a = 6.041 Å, b = 6.041 Å, c = 5.478 Å
α = 72.41°, β = 72.41°, γ = 32.19°
Fractional positions:
Cd  0.020  0.020  0.036
Cd  0.736  0.736  0.709
Sc  0.477  0.477  0.557
Ca  0.267  0.267  0.197

Calculated values
Crystal system: monoclinic
Calculated formation energy (eV per atom): -0.171
Symmetry: Cm (8)

***

Asked for magnetic moment across the records above, the calculation gives 1.021 2.828 0.000 0.000 1.841 0.003 0.000 0.897 0.003 5.041 0.000 0.005 μB/cell in order.